Compound: MnGaO3
Source: the Alexandria database
Functional: PBE+U
Structure: relaxed

Lattice parameters (Å, degrees): 5.0976 9.2246 5.0961 90.00 109.94 90.00
With the nearest neighbours (Å) after each atom.
Space group C2/m (No. 12)
Unique sites:
1 Mn 0.0000 0.1520 0.0000  4 O 1.94-2.03
2 Ga 0.0000 0.3394 0.5000  6 O 1.99-2.08
3 O 0.2246 0.2982 0.2510  1 Mn 1.94, 2 Ga 1.99-2.01
4 O 0.2461 0.0000 0.2562  2 Mn 2.03, 2 Ga 2.08

Values from the calculation:
Calculated total energy ... -6.670 eV/atom
Volume ... 11.3 Å³/atom